No. 1
## RbSr2Zn (PBE-GGA)

Data for crystalline RbSr2Zn at its relaxed geometry.

Output
size of the total moment = 0.00 μB per formula unit
space-group type = I-42d
final energy = -9.9 eV/cell
mass density = 2.6 g cm⁻³

Cell and atoms, written as POSCAR:
```
RbSr2Zn
1.0
-5.160 5.160 3.939
5.160 -5.160 3.939
5.160 5.160 -3.939
Rb Sr Zn
2 4 2
Direct
0.000 0.000 0.000
0.750 0.250 0.500
0.219 0.125 0.594
0.375 0.781 0.906
0.531 0.625 0.406
0.875 0.469 0.094
0.250 0.750 0.500
0.500 0.500 0.000
```

***

No. 2
## MnCdSb2 (PBE-GGA)

Data for crystalline MnCdSb2 at its relaxed geometry.

Output
formation energy from raw total energies = 0.2892 eV per atom
size of the total moment = 4.03 μB per formula unit
space-group type = P4/mmm
mass density = 7.4 g cm⁻³

Cell and atoms, written as POSCAR:
```
MnCdSb2
1.0
4.785 0.000 0.000
0.000 4.785 0.000
0.000 0.000 4.053
Mn Cd Sb
1 1 2
Direct
0.000 0.000 0.000
0.500 0.500 0.000
0.000 0.500 0.500
0.500 0.000 0.500
```

***

No. 3
## TmSc4Pt4 (PBE-GGA)

Data for crystalline TmSc4Pt4 at its relaxed geometry.

Output
size of the total moment = 0.00 μB per formula unit
space-group type = P4_2/n
final energy = -125.8 eV/cell
mass density = 9.2 g cm⁻³

Cell and atoms, written as POSCAR:
```
TmSc4Pt4
1.0
8.673 0.000 0.000
0.000 8.673 0.000
0.000 0.000 5.422
Tm Sc Pt
2 8 8
Direct
0.250 0.250 0.250
0.750 0.750 0.750
0.088 0.650 0.159
0.150 0.912 0.659
0.350 0.588 0.659
0.412 0.850 0.159
0.588 0.150 0.841
0.650 0.412 0.341
0.850 0.088 0.341
0.912 0.350 0.841
0.041 0.619 0.665
0.119 0.959 0.165
0.381 0.541 0.165
0.459 0.881 0.665
0.541 0.119 0.335
0.619 0.459 0.835
0.881 0.041 0.835
0.959 0.381 0.335
```

***

No. 4
## KRh2Se (PBE-GGA)

Data for crystalline KRh2Se at its relaxed geometry.

Output
formation energy from raw total energies = -0.1146 eV per atom
size of the total moment = 0.00 μB per formula unit
space-group type = P4mm
mass density = 5.6 g cm⁻³

Cell and atoms, written as POSCAR:
```
KRh2Se
1.0
4.058 0.000 0.000
0.000 4.058 0.000
0.000 0.000 5.832
K Rh Se
1 2 1
Direct
0.000 0.000 0.000
0.000 0.500 0.473
0.500 0.000 0.473
0.500 0.500 0.681
```

***

No. 5
## Er8Cd2Sn (PBE-GGA)

Data for crystalline Er8Cd2Sn at its relaxed geometry.

Output
size of the total moment = 0.04 μB per formula unit
space-group type = C2/m
final energy = -43.5 eV/cell
mass density = 8.8 g cm⁻³

Cell and atoms, written as POSCAR:
```
Er8Cd2Sn
1.0
4.359 -7.235 0.000
4.359 7.235 0.000
-2.019 0.000 5.056
Er Cd Sn
8 2 1
Direct
0.093 0.322 0.614
0.221 0.779 0.000
0.322 0.093 0.614
0.397 0.397 0.198
0.603 0.603 0.802
0.678 0.907 0.386
0.779 0.221 0.000
0.907 0.678 0.386
0.306 0.694 0.500
0.694 0.306 0.500
0.000 0.000 0.000
```

***

No. 6
## LiNbSb (PBE-GGA)

Data for crystalline LiNbSb at its relaxed geometry.

Output
formation energy from raw total energies = -0.3931 eV per atom
size of the total moment = 0.00 μB per formula unit
space-group type = P4/nmm
mass density = 6.0 g cm⁻³

Cell and atoms, written as POSCAR:
```
LiNbSb
1.0
4.094 0.000 0.000
0.000 4.094 0.000
0.000 0.000 7.313
Li Nb Sb
2 2 2
Direct
0.250 0.250 0.171
0.750 0.750 0.829
0.250 0.750 0.500
0.750 0.250 0.500
0.250 0.250 0.779
0.750 0.750 0.221
```

***

No. 7
## Zr4In5H2 (PBE-GGA)

Data for crystalline Zr4In5H2 at its relaxed geometry.

Output
size of the total moment = 0.00 μB per formula unit
space-group type = Immm
final energy = -56.1 eV/cell
mass density = 7.1 g cm⁻³

Cell and atoms, written as POSCAR:
```
Zr4In5H2
1.0
-1.575 4.171 8.345
1.575 -4.171 8.345
1.575 4.171 -8.345
Zr In H
4 5 2
Direct
0.165 0.165 0.000
0.176 0.500 0.676
0.824 0.500 0.324
0.835 0.835 0.000
0.152 0.330 0.823
0.493 0.670 0.823
0.500 0.000 0.500
0.507 0.330 0.177
0.848 0.670 0.177
0.048 0.048 0.000
0.952 0.952 0.000
```

***

No. 8
## LiCu2Ir (PBE-GGA)

Data for crystalline LiCu2Ir at its relaxed geometry.

Output
size of the total moment = 0.01 μB per formula unit
space-group type = Imm2
ΔE to the lowest computed polymorph = 97 meV per atom
mass density = 10.6 g cm⁻³

Cell and atoms, written as POSCAR:
```
LiCu2Ir
1.0
-1.361 2.177 4.325
1.361 -2.177 4.325
1.361 2.177 -4.325
Li Cu Ir
1 2 1
Direct
0.000 0.000 0.000
0.245 0.745 0.500
0.483 0.483 0.000
0.736 0.236 0.500
```

***

No. 9
## KBeCl (PBE-GGA)

Data for crystalline KBeCl at its relaxed geometry.

Output
formation energy from raw total energies = 0.0023 eV per atom
size of the total moment = 0.00 μB per formula unit
space-group type = F-43m
ΔE to the lowest computed polymorph = 70 meV per atom
mass density = 1.3 g cm⁻³

Cell and atoms, written as POSCAR:
```
KBeCl
1.0
0.000 3.751 3.751
3.751 0.000 3.751
3.751 3.751 0.000
K Be Cl
1 1 1
Direct
0.000 0.000 0.000
0.500 0.500 0.500
0.750 0.750 0.750
```

***

No. 10
## Al2CuAs (PBE-GGA)

Data for crystalline Al2CuAs at its relaxed geometry.

Output
size of the total moment = 0.00 μB per formula unit
space-group type = Pmmm
final energy = -16.5 eV/cell
mass density = 4.9 g cm⁻³

Cell and atoms, written as POSCAR:
```
Al2CuAs
1.0
2.772 0.000 0.000
0.000 3.120 0.000
0.000 0.000 7.504
Al Cu As
2 1 1
Direct
0.000 0.000 0.210
0.000 0.000 0.790
0.500 0.500 0.000
0.000 0.500 0.500
```

***

No. 11
## BeHgAu2 (PBE-GGA)

Data for crystalline BeHgAu2 at its relaxed geometry.

Output
size of the total moment = 0.00 μB per formula unit
space-group type = P2/m
ΔE to the lowest computed polymorph = 0 meV per atom
mass density = 14.8 g cm⁻³

Cell and atoms, written as POSCAR:
```
BeHgAu2
1.0
2.941 0.000 0.000
0.000 2.932 0.000
-0.053 0.000 7.828
Be Hg Au
1 1 2
Direct
0.000 0.000 0.000
0.000 0.000 0.500
0.495 0.500 0.811
0.505 0.500 0.189
```

***

No. 12
## Pu3Ni (PBE-GGA)

Data for crystalline Pu3Ni at its relaxed geometry.

Output
size of the total moment = 17.69 μB per formula unit
space-group type = Pm-3m
ΔE to the lowest computed polymorph = 165 meV per atom
mass density = 14.7 g cm⁻³

Cell and atoms, written as POSCAR:
```
Pu3Ni
1.0
4.473 0.000 0.000
0.000 4.473 0.000
0.000 0.000 4.473
Pu Ni
3 1
Direct
0.000 0.000 0.500
0.000 0.500 0.000
0.500 0.000 0.000
0.500 0.500 0.500
```

***

Please write out number 5 again, unchanged.
## Er8Cd2Sn (PBE-GGA)

Data for crystalline Er8Cd2Sn at its relaxed geometry.

Output
size of the total moment = 0.04 μB per formula unit
space-group type = C2/m
final energy = -43.5 eV/cell
mass density = 8.8 g cm⁻³

Cell and atoms, written as POSCAR:
```
Er8Cd2Sn
1.0
4.359 -7.235 0.000
4.359 7.235 0.000
-2.019 0.000 5.056
Er Cd Sn
8 2 1
Direct
0.093 0.322 0.614
0.221 0.779 0.000
0.322 0.093 0.614
0.397 0.397 0.198
0.603 0.603 0.802
0.678 0.907 0.386
0.779 0.221 0.000
0.907 0.678 0.386
0.306 0.694 0.500
0.694 0.306 0.500
0.000 0.000 0.000
```